--- 1 ---
The following is a DFT calculation (GGA-PBE) of a relaxed structure of OsN2F2.

abc: 3.524 3.524 4.000
angles: 90.00 90.00 90.00
Sites, in units of the cell vectors:
Os 0.000 0.000 0.000
N 0.000 0.500 0.500
N 0.500 0.000 0.500
F 0.500 0.500 0.000
F 0.500 0.500 0.500

--- 2 ---
The following is a DFT calculation (GGA-PBE) of a relaxed structure of OsN2F2.

abc: 3.772 3.772 4.014
angles: 90.00 90.00 90.00
Sites, in units of the cell vectors:
Os 0.000 0.000 0.000
N 0.000 0.500 0.000
N 0.500 0.000 0.000
F 0.000 0.000 0.500
F 0.500 0.500 0.500

In terms of stability, 2 leads; the second structure lies 2072 meV/atom higher.

--- 1 ---
The following is a DFT calculation (GGA-PBE) of a relaxed structure of RbOsN2F.

abc: 3.817 3.817 5.316
angles: 90.00 90.00 90.00
Sites, in units of the cell vectors:
Rb 0.000 0.000 0.000
Os 0.500 0.500 0.500
N 0.000 0.500 0.500
N 0.500 0.000 0.500
F 0.500 0.500 0.000

--- 2 ---
The following is a DFT calculation (GGA-PBE) of a relaxed structure of RbOsN2F.

abc: 4.392 4.392 4.479
angles: 90.00 90.00 90.00
Sites, in units of the cell vectors:
Rb 0.000 0.000 0.000
Os 0.500 0.500 0.500
N 0.000 0.500 0.000
N 0.500 0.000 0.000
F 0.000 0.000 0.500

In terms of stability, 1 leads; the second structure lies 3392 meV/atom higher.

--- 1 ---
The following is a DFT calculation (GGA-PBE) of a relaxed structure of ReOsNF2.

abc: 4.221 4.221 3.828
angles: 90.00 90.00 90.00
Sites, in units of the cell vectors:
Re 0.000 0.000 0.000
Os 0.500 0.500 0.500
N 0.000 0.000 0.500
F 0.000 0.500 0.000
F 0.500 0.000 0.000

--- 2 ---
The following is a DFT calculation (GGA-PBE) of a relaxed structure of ReOsNF2.

abc: 4.364 4.364 3.779
angles: 90.00 90.00 90.00
Sites, in units of the cell vectors:
Re 0.000 0.000 0.000
Os 0.500 0.500 0.500
N 0.500 0.500 0.000
F 0.000 0.500 0.500
F 0.500 0.000 0.500

In terms of stability, 1 leads; the second structure lies 68 meV/atom higher.

--- 1 ---
The following is a DFT calculation (GGA-PBE) of a relaxed structure of OsRhN2F.

abc: 3.832 3.832 4.247
angles: 90.00 90.00 90.00
Sites, in units of the cell vectors:
Os 0.000 0.000 0.000
Rh 0.500 0.500 0.500
N 0.000 0.500 0.000
N 0.500 0.000 0.000
F 0.000 0.000 0.500

--- 2 ---
The following is a DFT calculation (GGA-PBE) of a relaxed structure of OsRhN2F.

abc: 3.923 3.923 3.972
angles: 90.00 90.00 90.00
Sites, in units of the cell vectors:
Os 0.000 0.000 0.000
Rh 0.500 0.500 0.500
N 0.000 0.500 0.500
N 0.500 0.000 0.500
F 0.500 0.500 0.000

In terms of stability, 1 leads; the second structure lies 781 meV/atom higher.